First-principles (PBE-GGA) data for HoTlCuCl5 after structural relaxation, as listed in Alexandria via LeMat-Bulk.

a b c (Å): 7.3794 7.3794 9.9639
angles (deg): 103.72 103.72 106.74
Last column: magnetic moment on the atom in μB.
Atoms (fractional coordinates):
Ho1 0.0000 0.0000 0.5000  0.00
Ho2 0.0000 0.0000 0.0000  0.00
Tl1 0.3503 0.6497 0.2500  0.00
Tl2 0.6497 0.3503 0.7500  0.00
Cu1 0.6922 0.3078 0.2500  0.13
Cu2 0.3078 0.6922 0.7500  0.13
Cl1 0.0753 0.9247 0.2500  0.00
Cl2 0.9247 0.0753 0.7500  0.00
Cl3 0.9022 0.3066 0.1096  0.00
Cl4 0.0978 0.6934 0.8904  0.00
Cl5 0.6934 0.0978 0.3904  0.00
Cl6 0.3066 0.9022 0.6096  0.00
Cl7 0.7596 0.6238 0.4224  0.00
Cl8 0.2404 0.3762 0.5776  0.00
Cl9 0.3762 0.2404 0.0776  0.00
Cl10 0.6238 0.7596 0.9224  0.00

Computed properties:
The calculation puts the total energy at -64.54 eV for the cell shown.

=====

First-principles (PBE-GGA) data for CuI2Cl after structural relaxation, as listed in Alexandria via LeMat-Bulk.

a b c (Å): 4.0720 5.3503 12.4353
angles (deg): 90.00 90.00 74.04
Atoms (fractional coordinates):
Cu1 0.0010 0.6184 0.2500
Cu2 0.9990 0.3816 0.7500
I1 0.1393 0.3242 0.4160
I2 0.8607 0.6758 0.5840
I3 0.8607 0.6758 0.9160
I4 0.1393 0.3242 0.0840
Cl1 0.4312 0.8645 0.2500
Cl2 0.5688 0.1355 0.7500

Computed properties:
As for the polymorph energy (0 for the lowest one): 0.000 eV/atom.

=====

First-principles (PBE-GGA) data for CuI2Cl after structural relaxation, as listed in Alexandria via LeMat-Bulk.

a b c (Å): 7.5626 7.5626 6.9833
angles (deg): 57.22 57.22 90.00
Last column: magnetic moment on the atom in μB.
Atoms (fractional coordinates):
I1 0.7017 0.1250 0.2500  0.15
I2 0.0483 0.6250 0.2500  0.15
I3 0.3750 0.2983 0.7500  0.14
I4 0.8750 0.9517 0.7500  0.14
Cu1 0.0000 0.0000 0.0000  0.09
Cu2 0.7500 0.2500 0.5000  0.09
Cl1 0.5000 0.5000 0.0000  0.27
Cl2 0.2500 0.7500 0.5000  0.28

Computed properties:
As for the polymorph energy (0 for the lowest one): 0.304 eV/atom.

=====

First-principles (PBE-GGA) data for Cu4I2Cl5 after structural relaxation, as listed in Alexandria via LeMat-Bulk.

a b c (Å): 6.5631 9.3281 6.7885
angles (deg): 80.50 61.09 69.40
Last column: magnetic moment on the atom in μB.
Atoms (fractional coordinates):
Cu1 0.5076 0.7976 0.1873  0.11
Cu2 0.4924 0.2024 0.8127  0.11
Cu3 0.8116 0.4923 0.8845  0.32
Cu4 0.1884 0.5077 0.1155  0.32
I1 0.2620 0.9900 0.4861  0.02
I2 0.7380 0.0100 0.5139  0.02
Cl1 0.0863 0.3130 0.0120  0.08
Cl2 0.9137 0.6870 0.9880  0.08
Cl3 0.0000 0.5000 0.5000  0.06
Cl4 0.5888 0.3130 0.0120  0.08
Cl5 0.4112 0.6870 0.9880  0.08

Computed properties:
The calculation puts the total energy at -32.32 eV for the cell shown.

=====

First-principles (PBE-GGA) data for Cu2I2Cl3 after structural relaxation, as listed in Alexandria via LeMat-Bulk.

a b c (Å): 4.1698 10.4942 6.9879
angles (deg): 100.44 54.27 86.34
Last column: magnetic moment on the atom in μB.
Atoms (fractional coordinates):
Cu1 0.1060 0.0224 0.7106  0.27
Cu2 0.8940 0.9776 0.2894  0.27
I1 0.2735 0.4629 0.2313  0.00
I2 0.7265 0.5371 0.7687  0.00
Cl1 0.5000 0.0000 0.0000  0.06
Cl2 0.5241 0.8292 0.4279  0.09
Cl3 0.4759 0.1708 0.5721  0.09

Computed properties:
The calculation puts the total energy at -18.80 eV for the cell shown.

=====

First-principles (PBE-GGA) data for CuICl3 after structural relaxation, as listed in Alexandria via LeMat-Bulk.

a b c (Å): 6.7052 8.7942 12.5868
angles (deg): 90.00 105.28 90.00
Last column: magnetic moment on the atom in μB.
Atoms (fractional coordinates):
Cu1 0.0023 0.4390 0.1234  0.49
Cu2 0.0023 0.5610 0.6234  0.49
Cu3 0.9977 0.4390 0.3766  0.49
Cu4 0.9977 0.5610 0.8766  0.49
I1 0.1767 0.8835 0.3469  0.00
I2 0.8233 0.8835 0.1531  0.00
I3 0.1767 0.1165 0.8469  0.00
I4 0.8233 0.1165 0.6531  0.00
Cl1 0.7302 0.1168 0.4545  0.00
Cl2 0.7302 0.8832 0.9545  0.00
Cl3 0.2404 0.6080 0.7844  0.20
Cl4 0.2258 0.5617 0.0448  0.20
Cl5 0.2404 0.3920 0.2844  0.20
Cl6 0.2698 0.8832 0.5455  0.00
Cl7 0.7742 0.5617 0.4552  0.20
Cl8 0.7596 0.6080 0.7156  0.20
Cl9 0.7742 0.4383 0.9552  0.20
Cl10 0.7596 0.3920 0.2156  0.20
Cl11 0.2698 0.1168 0.0455  0.00
Cl12 0.2258 0.4383 0.5448  0.20

Computed properties:
As for the polymorph energy (0 for the lowest one): 0.000 eV/atom.